Ba2HgBi PBE-GGA relaxed; energy of formation = -0.729 eV/atom; ΔE to the lowest computed polymorph = 0.0120 eV per atom; theoretical density = 7.22 g cm⁻³; M_tot = 0.0 μB/f.u.
1.0
2.637 -5.023 -2.131
-3.320 -4.184 -2.863
0.623 -0.794 -5.976
Ba Bi Hg
2 1 1
Direct
0.250 0.250 0.250
0.750 0.750 0.750
0.500 0.500 0.500
0.000 0.000 0.000

NaGe2N PBE-GGA relaxed; formation energy without anion corrections = 141 kJ/mol of formula units; theoretical density = 4.44 g cm⁻³; M_tot = 0.0 μB/f.u.
1.0
6.778 0.000 0.000
0.000 6.778 0.000
3.389 3.389 2.966
Na Ge N
2 4 2
Direct
0.000 0.000 0.000
0.750 0.250 0.500
0.536 0.125 0.250
0.214 0.625 0.250
0.375 0.464 0.750
0.875 0.786 0.750
0.500 0.500 0.000
0.250 0.750 0.500

Ti4Co5Ni2 PBE-GGA relaxed; energy of formation = 0.247 eV/atom; theoretical density = 6.03 g cm⁻³; M_tot = 0.7 μB/f.u.
1.0
-3.025 -1.538 -3.422
1.094 -4.272 -2.441
-5.477 -4.830 3.619
Ti Co Ni
4 5 2
Direct
0.786 0.691 0.738
0.214 0.309 0.262
0.524 0.691 0.262
0.476 0.309 0.738
0.500 0.000 0.000
0.000 0.500 0.000
0.500 0.500 0.000
0.250 0.500 0.500
0.750 0.500 0.500
0.776 0.000 0.448
0.224 0.000 0.552

What is the theoretical density in the first record? 7.22 g cm⁻³

Please write out number 2 again, unchanged.
NaGe2N PBE-GGA relaxed; formation energy without anion corrections = 141 kJ/mol of formula units; theoretical density = 4.44 g cm⁻³; M_tot = 0.0 μB/f.u.
1.0
6.778 0.000 0.000
0.000 6.778 0.000
3.389 3.389 2.966
Na Ge N
2 4 2
Direct
0.000 0.000 0.000
0.750 0.250 0.500
0.536 0.125 0.250
0.214 0.625 0.250
0.375 0.464 0.750
0.875 0.786 0.750
0.500 0.500 0.000
0.250 0.750 0.500